Below is a relaxed ErTm2Be crystal, with properties calculated at the GGA-PBE level.

Output
For the formation energy, the calculation gives 0.68 eV/atom. As for the excess energy over the best structure of this formula in the dataset: 618.9 meV/atom. For the mass density, the calculation gives 7.69 Mg/m³. The value obtained for the calculated volume is 111.0 Å³ per cell. For the total energy, the calculation gives -3.633 eV per atom.

Cell lengths 3.377, 3.377, 11.409 Å; angles 81.49, 81.49, 60.00 degrees
Element x y z (fractional)
Be: 0.000 0.000 0.000
Tm: 0.084 0.084 0.747
Tm: 0.916 0.916 0.253
Er: 0.500 0.500 0.500